Density functional theory data (GGA+U) for a relaxed Na2PmVO4 crystal.

## Properties
VASP energy: -6.56 eV per atom
Density: 4.8 Mg/m³
SG: P2/m, No. 10
Magnetization: 2.0 μB/f.u.

Unit cell a=3.3577 b=5.7111 c=5.8627 alpha=109.27 beta=90.00 gamma=90.00
Sites, in units of the cell vectors:
O1 0.5000 0.2140 0.2071
O2 0.5000 0.7860 0.7929
O3 0.0000 0.2318 0.7906
O4 0.0000 0.7682 0.2094
Pm1 0.5000 0.5000 0.0000
Na1 0.5000 0.0000 0.5000
Na2 0.0000 0.5000 0.5000
V1 0.0000 0.0000 0.0000